Here is an optimized crystal structure of Mn2AlHgPb from the Alexandria database. Energies are from PBEsol.

Properties
As for the symmetry: No. 123. The energy of formation from the pure elements comes out at 4.0 eV per formula unit. The crystal system is tetragonal.

Geometry as extended XYZ:
```
5
Lattice="4.731 0.000 0.000 0.000 4.731 0.000 0.000 0.000 4.911" Properties=species:S:1:pos:R:3 pbc="T T T"
Pb 2.365 2.365 2.455
Al 0.000 0.000 0.000
Mn 2.365 0.000 0.000
Mn 0.000 2.365 0.000
Hg 0.000 0.000 2.455
```

Here is an optimized crystal structure of Cr2InRh2 from the Alexandria database. Energies are from PBEsol.

Properties
As for the symmetry: No. 139. The energy of formation from the pure elements comes out at 0.7 eV per formula unit. The crystal system is tetragonal.

Geometry as extended XYZ:
```
5
Lattice="3.218 0.000 0.000 0.000 3.218 0.000 -1.609 -1.609 6.962" Properties=species:S:1:pos:R:3 pbc="T T T"
In 0.000 0.000 0.000
Cr 0.000 1.609 3.481
Cr 1.609 0.000 3.481
Rh 0.000 0.000 5.466
Rh 1.609 1.609 1.496
```

Here is an optimized crystal structure of CdIn from the Alexandria database. Energies are from PBEsol.

Properties
As for the symmetry: No. 227. The energy of formation from the pure elements comes out at 0.1 eV per formula unit. The crystal system is cubic.

Geometry as extended XYZ:
```
4
Lattice="5.113 0.000 0.000 2.557 4.428 0.000 2.557 1.476 4.175" Properties=species:S:1:pos:R:3 pbc="T T T"
Cd 0.000 0.000 0.000
Cd 2.557 1.476 1.044
In 5.113 2.952 2.088
In 7.670 4.428 3.131
```

Here is an optimized crystal structure of BeHgRh2 from the Alexandria database. Energies are from PBEsol.

Properties
The value obtained for the relative energy among the computed polymorphs is 202 meV per atom. As for the symmetry: No. 8. The energy of formation from the pure elements comes out at 0.1 eV per formula unit. The crystal system is monoclinic.

Geometry as extended XYZ:
```
4
Lattice="-2.418 1.247 1.082 -3.758 -2.061 -2.053 -2.283 -3.264 2.617" Properties=species:S:1:pos:R:3 pbc="T T T"
Rh -6.238 -2.532 0.866
Rh -2.249 -3.117 2.527
Hg -2.377 -1.294 0.139
Be -4.109 -2.438 1.555
```

Here is an optimized crystal structure of LiPW2 from the Alexandria database. Energies are from PBEsol.

Properties
As for the symmetry: No. 166. The energy of formation from the pure elements comes out at 1.4 eV per formula unit. The crystal system is trigonal.

Geometry as extended XYZ:
```
4
Lattice="2.834 0.000 0.000 1.417 2.455 0.000 1.417 0.818 8.617" Properties=species:S:1:pos:R:3 pbc="T T T"
W 4.251 2.455 6.734
W 1.417 0.818 1.883
P 0.000 0.000 0.000
Li 2.834 1.636 4.309
```

Here is an optimized crystal structure of Li2Ti3VO8 from the Alexandria database. Energies are from PBEsol.

Properties
The calculation puts the formation energy (no corrections) at -2.7603 eV per atom. The value obtained for the relative energy among the computed polymorphs is 5 meV per atom. As for the symmetry: No. 166. The crystal system is trigonal.

Geometry as extended XYZ:
```
14
Lattice="-0.036 -5.369 -2.496 1.865 -4.705 3.072 -3.792 -4.067 1.780" Properties=species:S:1:pos:R:3 pbc="T T T"
O 0.475 -5.969 1.981
O -0.390 -6.271 -0.551
O -2.421 -5.730 1.510
O -1.619 -10.629 1.820
O -1.573 -7.870 2.907
O -0.344 -3.511 0.536
O 0.459 -8.410 0.846
O -2.438 -8.172 0.375
Ti -0.018 -2.684 -1.248
Ti 0.915 -5.037 0.288
Ti 0.933 -2.353 1.536
Li -2.167 -3.805 1.194
Li 0.204 -10.336 1.163
V -0.981 -7.070 1.178
```

Here is an optimized crystal structure of ReSi2Pb from the Alexandria database. Energies are from PBEsol.

Properties
The calculation puts the formation energy (no corrections) at 0.9329 eV per atom. As for the symmetry: No. 47. The crystal system is orthorhombic.

Geometry as extended XYZ:
```
4
Lattice="-2.007 2.227 1.370 -2.079 0.520 -3.893 -2.986 -3.394 1.141" Properties=species:S:1:pos:R:3 pbc="T T T"
Pb -2.043 1.374 -1.262
Re -2.533 -1.437 -1.376
Si 0.000 0.000 0.000
Si -2.497 -0.583 1.256
```

Here is an optimized crystal structure of ZrCuRe2 from the Alexandria database. Energies are from PBEsol.

Properties
As for the symmetry: No. 160. The energy of formation from the pure elements comes out at 0.9 eV per formula unit. The crystal system is trigonal.

Geometry as extended XYZ:
```
4
Lattice="2.783 0.000 0.000 1.392 2.410 0.000 1.392 0.803 9.251" Properties=species:S:1:pos:R:3 pbc="T T T"
Cu 1.392 0.803 2.165
Re 1.392 0.803 9.245
Re 4.175 2.410 7.152
Zr 2.783 1.607 4.564
```

Here is an optimized crystal structure of Ca2YHg from the Alexandria database. Energies are from PBEsol.

Properties
As for the symmetry: No. 99. The energy of formation from the pure elements comes out at -1.1 eV per formula unit. The crystal system is tetragonal.

Geometry as extended XYZ:
```
4
Lattice="3.694 0.000 0.000 0.000 3.694 0.000 0.000 0.000 9.348" Properties=species:S:1:pos:R:3 pbc="T T T"
Hg 0.000 0.000 4.792
Y 1.847 1.847 6.478
Ca 1.847 1.847 2.883
Ca 0.000 0.000 9.217
```

Here is an optimized crystal structure of InPH2O5 from the Alexandria database. Energies are from PBEsol.

Properties
As for the symmetry: No. 2. The crystal system is triclinic.

Geometry as extended XYZ:
```
18
Lattice="-0.354 -1.259 5.285 2.982 -3.951 -2.372 4.882 4.348 0.826" Properties=species:S:1:pos:R:3 pbc="T T T"
O 4.404 2.932 1.322
O 4.772 0.653 2.532
O 1.279 -1.916 3.861
O 6.231 1.052 -0.122
O 2.739 -1.517 1.206
O 3.106 -3.795 2.416
O 4.858 -0.846 -0.939
O 6.256 -1.074 1.210
O 2.652 -0.017 4.677
O 1.254 0.211 2.528
P 1.346 -0.344 3.973
P 6.165 -0.520 -0.235
H 5.389 -0.055 2.167
H 2.121 -0.808 1.571
H 4.784 1.469 1.943
H 2.726 -2.332 1.795
In 4.308 1.239 4.523
In 3.203 -2.102 -0.785
```

Here is an optimized crystal structure of AgPt2Au from the Alexandria database. Energies are from PBEsol.

Properties
The value obtained for the relative energy among the computed polymorphs is 8 meV per atom. As for the symmetry: No. 160. The energy of formation from the pure elements comes out at 0.0 eV per formula unit. The crystal system is trigonal.

Geometry as extended XYZ:
```
4
Lattice="-2.413 -0.281 -1.363 -2.142 -1.304 1.214 -4.466 7.605 3.489" Properties=species:S:1:pos:R:3 pbc="T T T"
Ag -4.521 3.038 1.682
Pt -4.456 7.577 3.477
Pt -6.770 4.526 2.510
Au -2.251 1.494 0.830
```

Here is an optimized crystal structure of IrRu2 from the Alexandria database. Energies are from PBEsol.

Properties
The value obtained for the relative energy among the computed polymorphs is 6 meV per atom. As for the symmetry: No. 12. The energy of formation from the pure elements comes out at -0.1 eV per formula unit. The crystal system is monoclinic.

Geometry as extended XYZ:
```
6
Lattice="2.697 0.000 0.000 -1.348 4.883 0.001 0.000 -1.510 6.166" Properties=species:S:1:pos:R:3 pbc="T T T"
Ru 0.000 2.798 2.909
Ru 0.000 1.676 5.299
Ru 1.348 0.575 3.258
Ru 1.348 1.697 0.868
Ir 1.348 4.313 1.208
Ir 0.000 -0.941 4.959
```

no.,final energy (eV per cell)
1,-24.20
2,-39.00
3,-8.06
4,-20.74
5,-34.00
6,-119.17
7,-25.09
8,-39.21
9,-12.75
10,-114.30
11,-21.16
12,-60.63